# NaMnBi2 | Alexandria | GGA-PBE | relaxed
# Uncorrected energy, eV/atom: -4.538
# V, Å³/atom: 27.112
# Spin magnetization, μB per cell: 8.8
# ΔH_f (0 K), kJ/mol of formula units: 10
# ΔE to the lowest computed polymorph, meV/atom: 0.0
data_NaMnBi2
_chemical_formula_sum 'Na3 Mn3 Bi6'
_symmetry_space_group_name_H-M 'R -3 m'
_symmetry_Int_Tables_number 166
_symmetry_space_group_name_Hall '-R 3 2"'
_cell_length_a 3.7962
_cell_length_b 3.7962
_cell_length_c 26.0675
_cell_angle_alpha 90.00
_cell_angle_beta 90.00
_cell_angle_gamma 120.00
loop_
_atom_site_label
_atom_site_fract_x
_atom_site_fract_y
_atom_site_fract_z
Na1 0.0000 0.0000 0.0000
Mn1 0.0000 0.0000 0.5000
Bi1 0.0000 0.0000 0.2343

# BaLiCa | Alexandria | GGA-PBE | relaxed
# Uncorrected energy, eV/atom: -1.899
# V, Å³/atom: 44.160
# Spin magnetization, μB per cell: 0.0
# ΔH_f (0 K), kJ/mol of formula units: 14
# ΔE to the lowest computed polymorph, meV/atom: 16.2
data_BaLiCa
_chemical_formula_sum 'Ba2 Li2 Ca2'
_symmetry_space_group_name_H-M 'P 4/n m m'
_symmetry_Int_Tables_number 129
_cell_length_a 5.284
_cell_length_b 5.284
_cell_length_c 9.489
_cell_angle_alpha 90.00
_cell_angle_beta 90.00
_cell_angle_gamma 90.00
loop_
_symmetry_equiv_pos_as_xyz
'x,y,z'
'-x,-y,-z'
'-y+1/2,x,z'
'y+1/2,-x,-z'
'-x+1/2,-y+1/2,z'
'x+1/2,y+1/2,-z'
'y,-x+1/2,z'
'-y,x+1/2,-z'
'x+1/2,-y,-z'
'-x+1/2,y,z'
'-y,-x,-z'
'y,x,z'
'-x,y+1/2,-z'
'x,-y+1/2,z'
'y+1/2,x+1/2,-z'
'-y+1/2,-x+1/2,z'
loop_
_atom_site_label
_atom_site_fract_x
_atom_site_fract_y
_atom_site_fract_z
Ba1 0.250 0.250 0.148
Li1 0.250 0.250 0.736
Ca1 0.250 0.750 0.500

# Ca2AgI | Alexandria | GGA-PBE | relaxed
# Uncorrected energy, eV/atom: -2.572
# V, Å³/atom: 34.536
# Spin magnetization, μB per cell: 0.0
# ΔE to the lowest computed polymorph, meV/atom: 194.5
data_Ca2AgI
_chemical_formula_sum 'Ca8 Ag4 I4'
_symmetry_space_group_name_H-M 'I -4 2 d'
_symmetry_Int_Tables_number 122
_symmetry_space_group_name_Hall 'I -4 2bw'
_cell_length_a 8.299
_cell_length_b 8.299
_cell_length_c 8.023
_cell_angle_alpha 90.00
_cell_angle_beta 90.00
_cell_angle_gamma 90.00
loop_
_atom_site_label
_atom_site_fract_x
_atom_site_fract_y
_atom_site_fract_z
Ca1 0.227 0.250 0.125
Ag1 0.000 0.000 0.000
I1 0.000 0.000 0.500

# SbH2O2 | Alexandria | GGA-PBE | relaxed
# Uncorrected energy, eV/atom: -4.717
# V, Å³/atom: 13.172
# Spin magnetization, μB per cell: 0.0
# ΔE to the lowest computed polymorph, meV/atom: 165.2
data_SbH2O2
_chemical_formula_sum 'Sb4 H8 O8'
_symmetry_space_group_name_H-M 'C 1 2/m 1'
_symmetry_Int_Tables_number 12
_symmetry_space_group_name_Hall '-C 2y'
_cell_length_a 19.006
_cell_length_b 3.157
_cell_length_c 4.391
_cell_angle_alpha 90.00
_cell_angle_beta 90.37
_cell_angle_gamma 90.00
loop_
_atom_site_label
_atom_site_fract_x
_atom_site_fract_y
_atom_site_fract_z
Sb1 0.137 0.000 0.247
H1 0.205 0.000 0.749
H2 0.206 0.500 0.249
O1 0.071 0.500 0.246
O2 0.153 0.000 0.747